(1)
# CuOs2Ru, single point on PBEsol structure, DFT SCAN
# ΔH_f (0 K)	0.25	eV per atom
# energy above the most stable polymorph in this dataset	0	meV/atom
# calculated total energy	-48.193	eV/atom
# symmetry	Pmm2 (25)
data_CuOs2Ru
_chemical_formula_sum 'Cu1 Os2 Ru1'
_cell_length_a 2.6933
_cell_length_b 3.7683
_cell_length_c 5.2323
_cell_angle_alpha 90.00
_cell_angle_beta 90.00
_cell_angle_gamma 90.00
_space_group_name_H-M_alt 'P 1'
_space_group_IT_number 1
loop_
_space_group_symop_operation_xyz
'x,y,z'
loop_
_atom_site_label
_atom_site_fract_x
_atom_site_fract_y
_atom_site_fract_z
Cu1 0.0000 0.5000 0.7478
Os1 0.0000 0.5000 0.2465
Ru1 0.5000 0.0000 0.5098
Os2 0.5000 0.0000 0.9959

***

(2)
# CsZnAg3, single point on PBEsol structure, DFT SCAN
# ΔH_f (0 K)	0.26	eV per atom
# calculated total energy	-28.829	eV/atom
# symmetry	Pm-3m (221)
data_CsZnAg3
_chemical_formula_sum 'Cs1 Zn1 Ag3'
_cell_length_a 5.0632
_cell_length_b 5.0632
_cell_length_c 5.0632
_cell_angle_alpha 90.00
_cell_angle_beta 90.00
_cell_angle_gamma 90.00
_space_group_name_H-M_alt 'P 1'
_space_group_IT_number 1
loop_
_space_group_symop_operation_xyz
'x,y,z'
loop_
_atom_site_label
_atom_site_fract_x
_atom_site_fract_y
_atom_site_fract_z
Ag1 0.0000 0.5000 0.0000
Ag2 0.5000 0.0000 0.0000
Ag3 0.0000 0.0000 0.5000
Cs1 0.5000 0.5000 0.5000
Zn1 0.0000 0.0000 0.0000

***

(3)
# Zr2ScZn, single point on PBEsol structure, DFT SCAN
# ΔH_f (0 K)	-0.14	eV per atom
# calculated total energy	-22.432	eV/atom
# symmetry	Cm (8)
data_Zr2ScZn
_chemical_formula_sum 'Zr2 Sc1 Zn1'
_cell_length_a 3.1711
_cell_length_b 5.1893
_cell_length_c 5.6397
_cell_angle_alpha 114.55
_cell_angle_beta 106.33
_cell_angle_gamma 90.00
_space_group_name_H-M_alt 'P 1'
_space_group_IT_number 1
loop_
_space_group_symop_operation_xyz
'x,y,z'
loop_
_atom_site_label
_atom_site_fract_x
_atom_site_fract_y
_atom_site_fract_z
Zr1 0.9763 0.0370 0.9526
Zn1 0.2531 0.6740 0.5063
Sc1 0.5237 0.5810 0.0475
Zr2 0.7468 0.2081 0.4936

***

(4)
# CrFeBN2, single point on PBEsol structure, DFT SCAN
# calculated total energy	-11.426	eV/atom
# symmetry	P4/mmm (123)
# ΔE_f (raw)	1.08	eV per atom
data_CrFeBN2
_chemical_formula_sum 'Cr1 Fe1 B1 N2'
_cell_length_a 3.5453
_cell_length_b 3.5453
_cell_length_c 3.8676
_cell_angle_alpha 90.00
_cell_angle_beta 90.00
_cell_angle_gamma 90.00
_space_group_name_H-M_alt 'P 1'
_space_group_IT_number 1
loop_
_space_group_symop_operation_xyz
'x,y,z'
loop_
_atom_site_label
_atom_site_fract_x
_atom_site_fract_y
_atom_site_fract_z
Cr1 0.5000 0.5000 0.5000
N1 0.0000 0.5000 0.0000
B1 0.0000 0.0000 0.5000
Fe1 0.0000 0.0000 0.0000
N2 0.5000 0.0000 0.0000

***

(5)
# HfTa3Si, single point on PBEsol structure, DFT SCAN
# calculated total energy	-52.399	eV/atom
# symmetry	Pm-3m (221)
# ΔE_f (raw)	2.09	eV per atom
data_HfTa3Si
_chemical_formula_sum 'Hf1 Ta3 Si1'
_cell_length_a 4.8048
_cell_length_b 4.8048
_cell_length_c 4.8048
_cell_angle_alpha 90.00
_cell_angle_beta 90.00
_cell_angle_gamma 90.00
_space_group_name_H-M_alt 'P 1'
_space_group_IT_number 1
loop_
_space_group_symop_operation_xyz
'x,y,z'
loop_
_atom_site_label
_atom_site_fract_x
_atom_site_fract_y
_atom_site_fract_z
Ta1 0.0000 0.5000 0.0000
Ta2 0.5000 0.0000 0.0000
Si1 0.5000 0.5000 0.5000
Hf1 0.0000 0.0000 0.0000
Ta3 0.0000 0.0000 0.5000

***

(6)
# Mg2TlAg, single point on PBEsol structure, DFT SCAN
# ΔH_f (0 K)	-0.09	eV per atom
# calculated total energy	-28.506	eV/atom
# symmetry	R-3m (166)
data_Mg2TlAg
_chemical_formula_sum 'Mg2 Tl1 Ag1'
_cell_length_a 3.2387
_cell_length_b 3.2387
_cell_length_c 9.5560
_cell_angle_alpha 80.24
_cell_angle_beta 80.24
_cell_angle_gamma 60.00
_space_group_name_H-M_alt 'P 1'
_space_group_IT_number 1
loop_
_space_group_symop_operation_xyz
'x,y,z'
loop_
_atom_site_label
_atom_site_fract_x
_atom_site_fract_y
_atom_site_fract_z
Tl1 0.5000 0.5000 0.5000
Ag1 0.0000 0.0000 0.0000
Mg1 0.2576 0.2576 0.2272
Mg2 0.7424 0.7424 0.7728